[1]
Density functional theory data (PBE) for crystalline Ac2SnBi6 at its relaxed geometry.

Lattice parameters (Å, degrees): 4.5552 9.9492 9.9492 134.23 90.00 90.00
Last column: nearest neighbours and their distance in Å.
Fractional positions:
Ac 0.0000 0.1470 0.8530  9 Bi 3.52-3.68
Ac 0.0000 0.8530 0.1470  9 Bi 3.52-3.68
Sn 0.5000 0.4297 0.4297  3 Bi 3.04-3.11
Bi 0.0000 0.3162 0.6218  5 Bi 3.34-3.63, 2 Sn 3.62, 2 Ac 3.63-3.68
Bi 0.0000 0.6218 0.3162  5 Bi 3.34-3.63, 2 Sn 3.62, 2 Ac 3.63-3.68
Bi 0.0000 0.7041 0.7041  2 Sn 3.11, 4 Bi 3.34-3.44
Bi 0.5000 0.0005 0.4982  4 Bi 3.34-3.63, 4 Ac 3.52-3.55
Bi 0.5000 0.0370 0.0370  1 Sn 3.04
Bi 0.5000 0.4982 0.0005  4 Bi 3.34-3.63, 4 Ac 3.52-3.55

Space group ... Amm2, No. 38
Spin magnetization ... 0.00 μB per formula unit


[2]
Density functional theory data (PBE) for crystalline Y4TlBi2 at its relaxed geometry.

Lattice parameters (Å, degrees): 6.1584 6.7303 10.4948 90.00 102.85 90.00
Last column: nearest neighbours and their distance in Å.
Fractional positions:
Y 0.0160 0.2500 0.3432  3 Tl 3.33-3.41, 3 Bi 3.36-3.53, 2 Y 3.61
Y 0.1382 0.2500 0.9578  1 Tl 2.99, 2 Bi 3.08-3.31
Y 0.4646 0.5048 0.2415  4 Bi 3.16-3.34, 1 Tl 3.25, 2 Y 3.30-3.43
Y 0.4646 0.9952 0.2415  4 Bi 3.16-3.34, 1 Tl 3.25, 2 Y 3.30-3.43
Y 0.5354 0.0048 0.7585  4 Bi 3.16-3.34, 1 Tl 3.25, 2 Y 3.30-3.43
Y 0.5354 0.4952 0.7585  4 Bi 3.16-3.34, 1 Tl 3.25, 2 Y 3.30-3.43
Y 0.8618 0.7500 0.0422  1 Tl 2.99, 2 Bi 3.08-3.31
Y 0.9840 0.7500 0.6568  3 Tl 3.33-3.41, 3 Bi 3.36-3.53, 2 Y 3.61
Tl 0.0721 0.2500 0.6665  4 Y 2.99-3.33, 1 Bi 3.11
Tl 0.9279 0.7500 0.3335  4 Y 2.99-3.33, 1 Bi 3.11
Bi 0.3104 0.7500 0.9589  7 Y 3.08-3.36
Bi 0.4136 0.7500 0.4991  1 Tl 3.11, 5 Y 3.16-3.42
Bi 0.5864 0.2500 0.5009  1 Tl 3.11, 5 Y 3.16-3.42
Bi 0.6896 0.2500 0.0411  7 Y 3.08-3.36

Excess energy over the best structure of this formula in the dataset ... 0.0 meV per atom
Space group ... P2_1/m, No. 11
Spin magnetization ... 0.00 μB per formula unit


no.,uncorrected energy (eV per atom),energy of formation (eV/atom),Fermi-level density of states (states/eV/cell)
1,-4.319,-0.374,4.123
2,-5.580,-0.440,12.618